(1)
! VRu3Au (PBE, relaxed); values from VASP
! N(E_F) = 4.5 states/eV/cell
! DFT formation energy = 1.12 eV/atom
&SYSTEM
  ibrav = 0, nat = 5, ntyp = 3
/
ATOMIC_SPECIES
V 50.94 V.upf
Ru 101.07 Ru.upf
Au 196.97 Au.upf
CELL_PARAMETERS angstrom
4.458 0.000 0.000
0.000 4.458 0.000
0.000 0.000 4.458
ATOMIC_POSITIONS angstrom
V 0.000 0.000 0.000
Ru 0.000 0.000 2.229
Ru 0.000 2.229 0.000
Ru 2.229 0.000 0.000
Au 2.229 2.229 2.229

***

(2)
! VRu2Au (PBE, relaxed); values from VASP
! N(E_F) = 5.5 states/eV/cell
! DFT formation energy = 0.05 eV/atom
&SYSTEM
  ibrav = 0, nat = 4, ntyp = 3
/
ATOMIC_SPECIES
V 50.94 V.upf
Ru 101.07 Ru.upf
Au 196.97 Au.upf
CELL_PARAMETERS angstrom
2.962 0.000 0.000
0.000 2.962 0.000
0.000 0.000 6.858
ATOMIC_POSITIONS angstrom
V 0.000 0.000 0.000
Ru 1.481 1.481 1.436
Ru 1.481 1.481 5.422
Au 0.000 0.000 3.429

***

(3)
! V4RuAu (PBE, relaxed); values from VASP
! N(E_F) = 4.8 states/eV/cell
! DFT formation energy = -0.02 eV/atom
&SYSTEM
  ibrav = 0, nat = 6, ntyp = 3
/
ATOMIC_SPECIES
V 50.94 V.upf
Ru 101.07 Ru.upf
Au 196.97 Au.upf
CELL_PARAMETERS angstrom
0.000 3.473 3.473
3.473 0.000 3.473
3.473 3.473 0.000
ATOMIC_POSITIONS angstrom
V 0.858 0.858 0.858
V 2.615 2.615 0.858
V 2.615 0.858 2.615
V 0.858 2.615 2.615
Ru 5.209 5.209 5.209
Au 3.473 3.473 3.473

***

(4)
! V2RuAu (PBE, relaxed); values from VASP
! N(E_F) = 3.7 states/eV/cell
! DFT formation energy = -0.08 eV/atom
&SYSTEM
  ibrav = 0, nat = 4, ntyp = 3
/
ATOMIC_SPECIES
V 50.94 V.upf
Ru 101.07 Ru.upf
Au 196.97 Au.upf
CELL_PARAMETERS angstrom
3.887 0.000 0.000
0.000 3.887 0.000
0.000 0.000 3.824
ATOMIC_POSITIONS angstrom
V 0.000 1.943 0.000
V 1.943 0.000 0.000
Ru 0.000 0.000 1.912
Au 1.943 1.943 1.912

***

(5)
! VRu2Au (PBE, relaxed); values from VASP
! N(E_F) = 2.0 states/eV/cell
! DFT formation energy = 0.03 eV/atom
&SYSTEM
  ibrav = 0, nat = 4, ntyp = 3
/
ATOMIC_SPECIES
V 50.94 V.upf
Ru 101.07 Ru.upf
Au 196.97 Au.upf
CELL_PARAMETERS angstrom
3.927 0.000 0.000
0.000 3.927 0.000
0.000 0.000 3.771
ATOMIC_POSITIONS angstrom
V 0.000 0.000 0.000
Ru 0.000 1.963 1.886
Ru 1.963 0.000 1.886
Au 1.963 1.963 0.000

***

(6)
! V3RuAu (PBE, relaxed); values from VASP
! N(E_F) = 6.7 states/eV/cell
! DFT formation energy = 0.93 eV/atom
&SYSTEM
  ibrav = 0, nat = 5, ntyp = 3
/
ATOMIC_SPECIES
V 50.94 V.upf
Ru 101.07 Ru.upf
Au 196.97 Au.upf
CELL_PARAMETERS angstrom
4.511 0.000 0.000
0.000 4.511 0.000
0.000 0.000 4.511
ATOMIC_POSITIONS angstrom
V 0.000 0.000 2.256
V 0.000 2.256 0.000
V 2.256 0.000 0.000
Ru 0.000 0.000 0.000
Au 2.256 2.256 2.256

***

(7)
! V2RuAu (PBE, relaxed); values from VASP
! N(E_F) = 9.9 states/eV/cell
! DFT formation energy = 0.35 eV/atom
&SYSTEM
  ibrav = 0, nat = 8, ntyp = 3
/
ATOMIC_SPECIES
V 50.94 V.upf
Ru 101.07 Ru.upf
Au 196.97 Au.upf
CELL_PARAMETERS angstrom
-3.446 3.446 2.697
3.446 -3.446 2.697
3.446 3.446 -2.697
ATOMIC_POSITIONS angstrom
V 5.168 1.498 -0.674
V 1.498 1.723 0.674
V -1.723 1.948 2.022
V 1.948 1.723 3.371
Ru 0.000 0.000 0.000
Ru 0.000 3.446 1.348
Au 3.446 0.000 1.348
Au 0.000 0.000 2.697

***

(8)
! VRu3Au (PBE, relaxed); values from VASP
! N(E_F) = 11.3 states/eV/cell
! DFT formation energy = 2.37 eV/atom
&SYSTEM
  ibrav = 0, nat = 5, ntyp = 3
/
ATOMIC_SPECIES
V 50.94 V.upf
Ru 101.07 Ru.upf
Au 196.97 Au.upf
CELL_PARAMETERS angstrom
4.813 0.000 0.000
0.000 4.813 0.000
0.000 0.000 4.813
ATOMIC_POSITIONS angstrom
V 0.000 0.000 0.000
Ru 0.000 2.406 2.406
Ru 2.406 0.000 2.406
Ru 2.406 2.406 0.000
Au 2.406 2.406 2.406

***

(9)
! VRuAu2 (PBE, relaxed); values from VASP
! N(E_F) = 2.5 states/eV/cell
! DFT formation energy = 0.31 eV/atom
&SYSTEM
  ibrav = 0, nat = 4, ntyp = 3
/
ATOMIC_SPECIES
V 50.94 V.upf
Ru 101.07 Ru.upf
Au 196.97 Au.upf
CELL_PARAMETERS angstrom
0.000 3.191 3.191
3.191 0.000 3.191
3.191 3.191 0.000
ATOMIC_POSITIONS angstrom
V 0.000 0.000 0.000
Ru 3.191 3.191 3.191
Au 1.595 1.595 1.595
Au 4.786 4.786 4.786

***

(10)
! V2RuAu (PBE, relaxed); values from VASP
! N(E_F) = 5.0 states/eV/cell
! DFT formation energy = -0.06 eV/atom
&SYSTEM
  ibrav = 0, nat = 4, ntyp = 3
/
ATOMIC_SPECIES
V 50.94 V.upf
Ru 101.07 Ru.upf
Au 196.97 Au.upf
CELL_PARAMETERS angstrom
2.842 0.000 0.000
0.000 2.842 0.000
0.000 0.000 7.332
ATOMIC_POSITIONS angstrom
V 0.000 0.000 1.647
V 0.000 0.000 5.685
Ru 1.421 1.421 0.000
Au 1.421 1.421 3.666

***

(11)
! RuWAu3 (PBE, relaxed); values from VASP
! N(E_F) = 4.9 states/eV/cell
! DFT formation energy = 1.82 eV/atom
&SYSTEM
  ibrav = 0, nat = 5, ntyp = 3
/
ATOMIC_SPECIES
Ru 101.07 Ru.upf
W 183.84 W.upf
Au 196.97 Au.upf
CELL_PARAMETERS angstrom
5.000 0.000 0.000
0.000 5.000 0.000
0.000 0.000 5.000
ATOMIC_POSITIONS angstrom
Ru 0.000 0.000 0.000
W 2.500 2.500 2.500
Au 0.000 2.500 2.500
Au 2.500 0.000 2.500
Au 2.500 2.500 0.000

***

(12)
! Ru2WAu (PBE, relaxed); values from VASP
! N(E_F) = 3.2 states/eV/cell
! DFT formation energy = 0.23 eV/atom
&SYSTEM
  ibrav = 0, nat = 4, ntyp = 3
/
ATOMIC_SPECIES
Ru 101.07 Ru.upf
W 183.84 W.upf
Au 196.97 Au.upf
CELL_PARAMETERS angstrom
4.579 -1.409 0.000
4.579 1.409 0.000
-0.932 0.000 4.813
ATOMIC_POSITIONS angstrom
Ru 1.973 0.000 1.081
Ru 6.252 0.000 3.732
W 4.579 0.000 0.000
Au -0.466 0.000 2.407

***

(13)
! Ru2WAu (PBE, relaxed); values from VASP
! N(E_F) = 6.0 states/eV/cell
! DFT formation energy = 0.59 eV/atom
&SYSTEM
  ibrav = 0, nat = 4, ntyp = 3
/
ATOMIC_SPECIES
Ru 101.07 Ru.upf
W 183.84 W.upf
Au 196.97 Au.upf
CELL_PARAMETERS angstrom
3.151 0.000 0.000
0.000 4.319 0.000
0.000 0.000 4.587
ATOMIC_POSITIONS angstrom
Ru 0.000 0.000 0.000
Ru 1.575 0.000 2.293
W 0.000 2.160 2.293
Au 1.575 2.160 0.000

***

(14)
! RuWAu2 (PBE, relaxed); values from VASP
! N(E_F) = 2.6 states/eV/cell
! DFT formation energy = 0.40 eV/atom
&SYSTEM
  ibrav = 0, nat = 4, ntyp = 3
/
ATOMIC_SPECIES
Ru 101.07 Ru.upf
W 183.84 W.upf
Au 196.97 Au.upf
CELL_PARAMETERS angstrom
-1.931 1.931 4.341
1.931 -1.931 4.341
1.931 1.931 -4.341
ATOMIC_POSITIONS angstrom
Ru 0.000 0.000 0.000
W 0.000 0.000 4.341
Au 1.931 0.000 2.170
Au 0.000 1.931 2.170

***

(15)
! Ru2WAu (PBE, relaxed); values from VASP
! N(E_F) = 5.7 states/eV/cell
! DFT formation energy = 0.21 eV/atom
&SYSTEM
  ibrav = 0, nat = 4, ntyp = 3
/
ATOMIC_SPECIES
Ru 101.07 Ru.upf
W 183.84 W.upf
Au 196.97 Au.upf
CELL_PARAMETERS angstrom
2.798 0.000 0.000
0.000 2.798 0.000
0.000 0.000 7.961
ATOMIC_POSITIONS angstrom
Ru 0.000 0.000 1.853
Ru 0.000 0.000 6.108
W 1.399 1.399 0.000
Au 1.399 1.399 3.980

***

(16)
! RuWAu2 (PBE, relaxed); values from VASP
! N(E_F) = 3.3 states/eV/cell
! DFT formation energy = 0.63 eV/atom
&SYSTEM
  ibrav = 0, nat = 4, ntyp = 3
/
ATOMIC_SPECIES
Ru 101.07 Ru.upf
W 183.84 W.upf
Au 196.97 Au.upf
CELL_PARAMETERS angstrom
4.775 0.000 0.000
0.000 4.775 0.000
0.000 0.000 2.885
ATOMIC_POSITIONS angstrom
Ru 0.000 0.000 0.000
W 2.387 2.387 0.000
Au 0.000 2.387 1.443
Au 2.387 0.000 1.443

***

(17)
! Ru2WAu (PBE, relaxed); values from VASP
! N(E_F) = 3.8 states/eV/cell
! DFT formation energy = 0.26 eV/atom
&SYSTEM
  ibrav = 0, nat = 4, ntyp = 3
/
ATOMIC_SPECIES
Ru 101.07 Ru.upf
W 183.84 W.upf
Au 196.97 Au.upf
CELL_PARAMETERS angstrom
4.649 -1.403 0.000
4.649 1.403 0.000
-0.853 0.000 4.712
ATOMIC_POSITIONS angstrom
Ru 0.000 0.000 0.000
Ru 6.659 0.000 1.058
W 1.675 0.000 3.585
Au 4.180 0.000 2.330

***

(18)
! RuWAu2 (PBE, relaxed); values from VASP
! N(E_F) = 9.2 states/eV/cell
! DFT formation energy = 0.98 eV/atom
&SYSTEM
  ibrav = 0, nat = 8, ntyp = 3
/
ATOMIC_SPECIES
Ru 101.07 Ru.upf
W 183.84 W.upf
Au 196.97 Au.upf
CELL_PARAMETERS angstrom
-3.697 3.697 2.625
3.697 -3.697 2.625
3.697 3.697 -2.625
ATOMIC_POSITIONS angstrom
Ru 0.000 0.000 0.000
Ru 0.000 3.697 1.312
W 3.697 0.000 1.312
W 0.000 0.000 2.625
Au 1.848 -1.809 1.969
Au 1.888 1.848 0.656
Au 1.848 5.505 -0.656
Au 1.809 1.848 3.281

***

(19)
! Ru2WAu (PBE, relaxed); values from VASP
! N(E_F) = 4.4 states/eV/cell
! DFT formation energy = 0.60 eV/atom
&SYSTEM
  ibrav = 0, nat = 4, ntyp = 3
/
ATOMIC_SPECIES
Ru 101.07 Ru.upf
W 183.84 W.upf
Au 196.97 Au.upf
CELL_PARAMETERS angstrom
0.000 3.154 3.154
3.154 0.000 3.154
3.154 3.154 0.000
ATOMIC_POSITIONS angstrom
Ru 0.000 0.000 0.000
Ru 1.577 1.577 1.577
W 4.731 4.731 4.731
Au 3.154 3.154 3.154

***

(20)
! RuWAu2 (PBE, relaxed); values from VASP
! N(E_F) = 3.4 states/eV/cell
! DFT formation energy = 0.45 eV/atom
&SYSTEM
  ibrav = 0, nat = 4, ntyp = 3
/
ATOMIC_SPECIES
Ru 101.07 Ru.upf
W 183.84 W.upf
Au 196.97 Au.upf
CELL_PARAMETERS angstrom
1.417 0.818 9.415
-1.417 0.818 9.415
0.000 -1.636 9.415
ATOMIC_POSITIONS angstrom
Ru 0.000 0.000 0.000
W 0.000 0.000 14.123
Au 0.000 0.000 7.069
Au 0.000 0.000 21.176

***

(21)
! RuWAu2 (PBE, relaxed); values from VASP
! N(E_F) = 1.6 states/eV/cell
! DFT formation energy = 0.17 eV/atom
&SYSTEM
  ibrav = 0, nat = 4, ntyp = 3
/
ATOMIC_SPECIES
Ru 101.07 Ru.upf
W 183.84 W.upf
Au 196.97 Au.upf
CELL_PARAMETERS angstrom
1.412 0.815 9.599
-1.412 0.815 9.599
0.000 -1.630 9.599
ATOMIC_POSITIONS angstrom
Ru 0.000 0.000 0.000
W 0.000 0.000 21.282
Au 0.000 0.000 7.127
Au 0.000 0.000 14.141

***

(22)
! RuWAu2 (PBE, relaxed); values from VASP
! N(E_F) = 3.3 states/eV/cell
! DFT formation energy = 0.29 eV/atom
&SYSTEM
  ibrav = 0, nat = 4, ntyp = 3
/
ATOMIC_SPECIES
Ru 101.07 Ru.upf
W 183.84 W.upf
Au 196.97 Au.upf
CELL_PARAMETERS angstrom
1.521 -2.319 0.000
1.521 2.319 0.000
0.000 0.000 9.525
ATOMIC_POSITIONS angstrom
Ru 0.000 0.000 0.000
W 1.521 0.000 7.448
Au 0.000 0.000 4.990
Au 1.521 0.000 2.447

***

(23)
! RuW3Au (PBE, relaxed); values from VASP
! N(E_F) = 9.8 states/eV/cell
! DFT formation energy = 2.94 eV/atom
&SYSTEM
  ibrav = 0, nat = 5, ntyp = 3
/
ATOMIC_SPECIES
Ru 101.07 Ru.upf
W 183.84 W.upf
Au 196.97 Au.upf
CELL_PARAMETERS angstrom
4.764 0.000 0.000
0.000 4.764 0.000
0.000 0.000 4.764
ATOMIC_POSITIONS angstrom
Ru 0.000 0.000 0.000
W 0.000 2.382 2.382
W 2.382 0.000 2.382
W 2.382 2.382 0.000
Au 2.382 2.382 2.382

***

(24)
! Ru2WAu (PBE, relaxed); values from VASP
! N(E_F) = 5.2 states/eV/cell
! DFT formation energy = 0.26 eV/atom
&SYSTEM
  ibrav = 0, nat = 4, ntyp = 3
/
ATOMIC_SPECIES
Ru 101.07 Ru.upf
W 183.84 W.upf
Au 196.97 Au.upf
CELL_PARAMETERS angstrom
-1.938 1.938 4.051
1.938 -1.938 4.051
1.938 1.938 -4.051
ATOMIC_POSITIONS angstrom
Ru 0.000 0.000 0.000
Ru 0.000 1.938 2.026
W 0.000 0.000 4.051
Au 1.938 0.000 2.026

***

(25)
! Ru2WAu (PBE, relaxed); values from VASP
! N(E_F) = 3.3 states/eV/cell
! DFT formation energy = 0.17 eV/atom
&SYSTEM
  ibrav = 0, nat = 4, ntyp = 3
/
ATOMIC_SPECIES
Ru 101.07 Ru.upf
W 183.84 W.upf
Au 196.97 Au.upf
CELL_PARAMETERS angstrom
1.394 0.805 9.253
-1.394 0.805 9.253
0.000 -1.610 9.253
ATOMIC_POSITIONS angstrom
Ru 0.000 0.000 6.800
Ru 0.000 0.000 20.959
W 0.000 0.000 13.879
Au 0.000 0.000 0.000

***

(26)
! Ru2WAu (PBE, relaxed); values from VASP
! N(E_F) = 12.7 states/eV/cell
! DFT formation energy = 0.66 eV/atom
&SYSTEM
  ibrav = 0, nat = 8, ntyp = 3
/
ATOMIC_SPECIES
Ru 101.07 Ru.upf
W 183.84 W.upf
Au 196.97 Au.upf
CELL_PARAMETERS angstrom
-3.556 3.556 2.747
3.556 -3.556 2.747
3.556 3.556 -2.747
ATOMIC_POSITIONS angstrom
Ru 5.334 1.490 -0.687
Ru 1.490 1.778 0.687
Ru -1.778 2.066 2.060
Ru 2.066 1.778 3.434
W 0.000 0.000 0.000
W 0.000 3.556 1.373
Au 3.556 0.000 1.373
Au 0.000 0.000 2.747

***

(27)
! Ru3WAu (PBE, relaxed); values from VASP
! N(E_F) = 5.0 states/eV/cell
! DFT formation energy = 1.60 eV/atom
&SYSTEM
  ibrav = 0, nat = 5, ntyp = 3
/
ATOMIC_SPECIES
Ru 101.07 Ru.upf
W 183.84 W.upf
Au 196.97 Au.upf
CELL_PARAMETERS angstrom
4.679 0.000 0.000
0.000 4.679 0.000
0.000 0.000 4.679
ATOMIC_POSITIONS angstrom
Ru 0.000 0.000 2.340
Ru 0.000 2.340 0.000
Ru 2.340 0.000 0.000
W 0.000 0.000 0.000
Au 2.340 2.340 2.340

***

(28)
! RuWAu2 (PBE, relaxed); values from VASP
! N(E_F) = 3.6 states/eV/cell
! DFT formation energy = 0.47 eV/atom
&SYSTEM
  ibrav = 0, nat = 4, ntyp = 3
/
ATOMIC_SPECIES
Ru 101.07 Ru.upf
W 183.84 W.upf
Au 196.97 Au.upf
CELL_PARAMETERS angstrom
2.678 -4.243 0.000
2.678 4.243 0.000
-0.010 0.000 2.870
ATOMIC_POSITIONS angstrom
Ru 0.000 0.000 0.000
W 2.678 0.000 0.000
Au 1.334 2.122 1.435
Au 1.334 -2.122 1.435

***

(29)
! RuWAu2 (PBE, relaxed); values from VASP
! N(E_F) = 2.2 states/eV/cell
! DFT formation energy = 0.32 eV/atom
&SYSTEM
  ibrav = 0, nat = 4, ntyp = 3
/
ATOMIC_SPECIES
Ru 101.07 Ru.upf
W 183.84 W.upf
Au 196.97 Au.upf
CELL_PARAMETERS angstrom
-2.004 2.004 4.005
2.004 -2.004 4.005
2.004 2.004 -4.005
ATOMIC_POSITIONS angstrom
Ru 0.000 0.000 0.000
W 2.004 0.000 2.002
Au 0.000 0.000 4.005
Au 0.000 2.004 2.002

***

(30)
! RuWAu2 (PBE, relaxed); values from VASP
! N(E_F) = 3.4 states/eV/cell
! DFT formation energy = 0.43 eV/atom
&SYSTEM
  ibrav = 0, nat = 4, ntyp = 3
/
ATOMIC_SPECIES
Ru 101.07 Ru.upf
W 183.84 W.upf
Au 196.97 Au.upf
CELL_PARAMETERS angstrom
2.855 0.000 0.000
0.000 4.245 0.000
0.000 0.000 5.366
ATOMIC_POSITIONS angstrom
Ru 0.000 0.000 0.000
W 0.000 0.000 2.683
Au 1.427 2.123 1.346
Au 1.427 2.123 4.020